No. 1
6
Lattice="2.027 -6.164 0.000 2.027 6.164 0.000 0.000 0.000 4.191" Properties=species:S:1:pos:R:3 comment="TaTi5, optimized geometry, DFT PBE" magmom_total_mub_per_fu=0.000 e_tot_ev_per_cell=-50.82 sg="Cmmm (65)" mass_density_g_cm3=6.7 pbc="T T T"
Ta 0.000 0.000 0.000
Ti 2.027 4.090 2.096
Ti 2.027 2.069 0.000
Ti 2.027 0.000 2.096
Ti 2.027 -2.069 0.000
Ti 2.027 -4.090 2.096


No. 2
10
Lattice="5.268 0.000 0.000 0.000 7.217 0.000 -2.144 0.000 4.676" Properties=species:S:1:pos:R:3 comment="TaTi4, optimized geometry, DFT PBE" magmom_total_mub_per_fu=0.000 e_tot_ev_per_cell=-85.01 sg="P2/c (13)" mass_density_g_cm3=7.0 pbc="T T T"
Ta -0.536 0.873 1.169
Ta -1.608 6.344 3.507
Ti 0.212 3.190 2.445
Ti 1.284 4.026 0.107
Ti -0.259 1.296 4.369
Ti 0.813 5.921 2.031
Ti 2.311 1.296 2.645
Ti 3.383 5.921 0.307
Ti 1.840 3.190 4.569
Ti 2.912 4.026 2.231


No. 3
4
Lattice="4.124 0.000 0.000 0.000 4.124 0.000 0.000 0.000 4.124" Properties=species:S:1:pos:R:3 comment="TaTi3, optimized geometry, DFT PBE" magmom_total_mub_per_fu=0.000 e_tot_ev_per_cell=-35.16 sg="Pm-3m (221)" mass_density_g_cm3=7.7 pbc="T T T"
Ta 0.000 0.000 0.000
Ti 0.000 2.062 2.062
Ti 2.062 0.000 2.062
Ti 2.062 2.062 0.000


No. 4
4
Lattice="2.798 0.000 0.000 0.000 2.798 0.000 0.000 0.000 9.323" Properties=species:S:1:pos:R:3 comment="Ta3Ti, optimized geometry, DFT PBE" magmom_total_mub_per_fu=0.000 e_tot_ev_per_cell=-42.85 sg="P4/mmm (123)" mass_density_g_cm3=13.4 pbc="T T T"
Ta 0.000 0.000 0.000
Ta 1.399 1.399 2.375
Ta 1.399 1.399 6.948
Ti 0.000 0.000 4.662